Here is La2I2Cl3 after structural relaxation from Alexandria via LeMat-Bulk. Energies are from PBE.

Values from the calculation:
E_form (uncorrected)   -13.5 eV per formula unit
Magnetization   0.00 μB per formula unit
Raw total energy   -4.574 eV/atom
N(E_F)   2.4 states/eV/f.u.

Geometry as POSCAR:
```
La2I2Cl3
1.0
4.076 0.000 1.088
1.607 6.246 2.158
-0.100 0.792 8.553
La I Cl
2 2 3
Direct
0.159 0.886 0.796 La
0.841 0.114 0.204 La
0.145 0.505 0.204 I
0.855 0.495 0.796 I
0.500 0.000 0.000 Cl
0.360 0.853 0.427 Cl
0.640 0.147 0.573 Cl
```